Entry from the Alexandria database: an optimized crystal structure of Sr2CaSeS (GGA-PBE).

The structure in POSCAR format:
```
Sr2CaSeS
1.0
-0.1070 1.1227 5.3023
2.5367 -6.5488 1.4378
5.0691 1.8977 -0.2996
S Sr Se Ca
1 2 1 1
Cartesian
0.0000 0.0000 0.0000
2.5345 0.9489 -0.1498
-0.0535 0.5614 2.6512
1.2683 -3.2744 0.7189
3.7494 -1.7642 3.2203
```

Its space-group type is P4/mmm. The value obtained for the density of states at the Fermi level is 3.58 states/eV/f.u. The calculation puts the formation energy from raw total energies at -677 meV per atom.